Entry 1:
# KLaIn2

KLaIn2 after structural relaxation (PBE, Alexandria via LeMat-Bulk).

- DFT formation energy: -0.675 eV/f.u.
- Crystal system: cubic
- ρ: 5.2 g/cm3
- Polymorph energy (0 for the lowest one): 0.079 eV per atom

Cell lengths 5.690, 5.690, 5.690 Å; angles 60.00, 60.00, 60.00 degrees
Fractional coordinates of all 4 atoms:
In (0.250, 0.250, 0.250)
La (0.500, 0.500, 0.500)
K (0.000, 0.000, 0.000)
In (0.750, 0.750, 0.750)


Entry 2:
# Li4YRe

Li4YRe after structural relaxation (PBE, Alexandria via LeMat-Bulk).

- DFT formation energy: 2.386 eV/f.u.
- Crystal system: cubic
- ρ: 5.2 g/cm3

Cell lengths 5.163, 5.163, 5.163 Å; angles 60.00, 60.00, 60.00 degrees
Fractional coordinates of all 6 atoms:
Li (0.380, 0.380, 0.380)
Li (0.380, 0.380, 0.861)
Y (0.000, 0.000, 0.000)
Li (0.380, 0.861, 0.380)
Li (0.861, 0.380, 0.380)
Re (0.750, 0.750, 0.750)


Entry 3:
# Zn8PtRh2

Zn8PtRh2 after structural relaxation (PBE, Alexandria via LeMat-Bulk).

- DFT formation energy: -3.472 eV/f.u.
- Crystal system: orthorhombic
- ρ: 9.5 g/cm3

Cell lengths 4.113, 6.653, 7.106 Å; angles 117.91, 106.82, 90.00 degrees
Fractional coordinates of all 11 atoms:
Rh (0.797, 0.297, 0.594)
Zn (0.000, 0.309, 0.000)
Zn (0.353, 0.562, 0.707)
Zn (0.647, 0.438, 0.293)
Pt (0.500, 0.000, 0.000)
Zn (0.151, 0.151, 0.302)
Zn (0.849, 0.849, 0.698)
Zn (0.353, 0.145, 0.707)
Zn (0.647, 0.855, 0.293)
Rh (0.203, 0.703, 0.406)
Zn (0.000, 0.691, 0.000)


Entry 4:
# TaOs

TaOs after structural relaxation (PBE, Alexandria via LeMat-Bulk).

- DFT formation energy: -0.238 eV/f.u.
- Crystal system: tetragonal
- ρ: 18.9 g/cm3

Cell lengths 3.868, 5.148, 3.868 Å; angles 67.93, 90.00, 112.07 degrees
Fractional coordinates of all 4 atoms:
Os (0.000, 0.000, 0.000)
Os (0.750, 0.500, 0.750)
Ta (0.250, 0.500, 0.250)
Ta (0.500, 0.000, 0.500)


Entry 5:
# Li2CaZnCu

Li2CaZnCu after structural relaxation (PBE, Alexandria via LeMat-Bulk).

- DFT formation energy: 5.349 eV/f.u.
- Crystal system: tetragonal
- ρ: 1.7 g/cm3
- Polymorph energy (0 for the lowest one): 1.068 eV per atom

Cell lengths 5.655, 5.515, 5.655 Å; angles 90.00, 90.00, 90.00 degrees
Fractional coordinates of all 5 atoms:
Cu (0.500, 0.500, 0.500)
Ca (0.000, 0.000, 0.000)
Zn (0.000, 0.500, 0.000)
Li (0.500, 0.000, 0.000)
Li (0.000, 0.000, 0.500)


Entry 6:
# Np2Pa3N8

Np2Pa3N8 after structural relaxation (PBE, Alexandria via LeMat-Bulk).

- ΔE_f (raw): -1.330 eV per atom
- Crystal system: monoclinic
- ρ: 9.1 g/cm3

Cell lengths 3.746, 9.505, 10.851 Å; angles 142.94, 90.00, 90.00 degrees
Fractional coordinates of all 13 atoms:
Pa (0.500, 0.000, 0.000)
N (0.000, 0.384, 0.805)
Pa (0.000, 0.207, 0.883)
N (0.500, 0.068, 0.670)
N (0.000, 0.063, 0.165)
N (0.000, 0.616, 0.195)
Pa (0.000, 0.793, 0.117)
N (0.500, 0.932, 0.330)
N (0.500, 0.687, 0.921)
Np (0.500, 0.294, 0.657)
Np (0.500, 0.706, 0.343)
N (0.500, 0.313, 0.079)
N (0.000, 0.937, 0.835)


> What is the formula in the third record?

Zn8PtRh2